The following is a DFT calculation (GGA-PBE) of Pr2Sm after structural relaxation.

Summary:
Theoretical density ... 6.6 g/cm³
Energy of formation ... 0.764 eV/f.u.
Energy above the most stable polymorph in this dataset ... 0.239 eV/atom

a = 9.5552 Å, b = 9.5552 Å, c = 9.5552 Å
α = 90.00°, β = 90.00°, γ = 90.00°
Space group Fd-3m (No. 227, origin choice 2)
One atom of each set of equivalent atoms:
Pr 0.0000 0.0000 0.0000
Sm 0.1250 0.1250 0.6250